[1]
DFT (PBE) results for a relaxed structure of Na2MgZn.

```
data_Na2MgZn
_chemical_formula_sum 'Na8 Mg4 Zn4'
_cell_length_a 7.269
_cell_length_b 7.269
_cell_length_c 7.269
_cell_angle_alpha 90.00
_cell_angle_beta 90.00
_cell_angle_gamma 90.00
_space_group_name_H-M_alt 'F -4 3 m'
_space_group_IT_number 216
_space_group_name_Hall 'F -4 2 3'
loop_
_atom_site_label
_atom_site_type_symbol
_atom_site_fract_x
_atom_site_fract_y
_atom_site_fract_z
Na1 Na 0.000 0.000 0.000
Na2 Na 0.250 0.250 0.250
Mg1 Mg 0.250 0.250 0.750
Zn1 Zn 0.000 0.000 0.500
```

Calculated values
Energy (eV per atom): -1.280

[2]
DFT (PBE) results for a relaxed structure of NaMgZn.

```
data_NaMgZn
_chemical_formula_sum 'Na4 Mg4 Zn4'
_cell_length_a 6.811
_cell_length_b 6.811
_cell_length_c 6.811
_cell_angle_alpha 90.00
_cell_angle_beta 90.00
_cell_angle_gamma 90.00
_space_group_name_H-M_alt 'F -4 3 m'
_space_group_IT_number 216
_space_group_name_Hall 'F -4 2 3'
loop_
_atom_site_label
_atom_site_type_symbol
_atom_site_fract_x
_atom_site_fract_y
_atom_site_fract_z
Na1 Na 0.000 0.000 0.000
Mg1 Mg 0.250 0.250 0.250
Zn1 Zn 0.000 0.000 0.500
```

Calculated values
ΔE to the lowest computed polymorph (meV per atom): 0
Energy (eV per atom): -1.083

[3]
DFT (PBE) results for a relaxed structure of NaMgZr.

```
data_NaMgZr
_chemical_formula_sum 'Na4 Mg4 Zr4'
_cell_length_a 7.082
_cell_length_b 7.082
_cell_length_c 7.082
_cell_angle_alpha 90.00
_cell_angle_beta 90.00
_cell_angle_gamma 90.00
_space_group_name_H-M_alt 'F -4 3 m'
_space_group_IT_number 216
_space_group_name_Hall 'F -4 2 3'
loop_
_atom_site_label
_atom_site_type_symbol
_atom_site_fract_x
_atom_site_fract_y
_atom_site_fract_z
Na1 Na 0.000 0.000 0.000
Mg1 Mg 0.000 0.000 0.500
Zr1 Zr 0.250 0.250 0.750
```

Calculated values
Total magnetic moment (μB per atom): 0.158
Energy (eV per atom): -2.644

[4]
DFT (PBE) results for a relaxed structure of MgNb.

```
data_MgNb
_chemical_formula_sum 'Mg2 Nb2'
_cell_length_a 2.756
_cell_length_b 4.971
_cell_length_c 5.682
_cell_angle_alpha 90.00
_cell_angle_beta 90.00
_cell_angle_gamma 90.00
_space_group_name_H-M_alt 'P m m n'
_space_group_IT_number 59
loop_
_space_group_symop_operation_xyz
'x,y,z'
'-x,-y,-z'
'-x+1/2,-y+1/2,z'
'x+1/2,y+1/2,-z'
'x+1/2,-y,-z'
'-x+1/2,y,z'
'-x,y+1/2,-z'
'x,-y+1/2,z'
loop_
_atom_site_label
_atom_site_type_symbol
_atom_site_fract_x
_atom_site_fract_y
_atom_site_fract_z
Mg1 Mg 0.250 0.250 0.098
Nb1 Nb 0.250 0.750 0.414
```

Calculated values
Total magnetic moment (μB per atom): 0.002
Energy (eV per atom): -5.572

[5]
DFT (PBE) results for a relaxed structure of MgNb.

```
data_MgNb
_chemical_formula_sum 'Mg1 Nb1'
_cell_length_a 2.9319
_cell_length_b 2.9319
_cell_length_c 5.1776
_cell_angle_alpha 90.00
_cell_angle_beta 90.00
_cell_angle_gamma 120.00
_space_group_name_H-M_alt 'P -6 m 2'
_space_group_IT_number 187
_space_group_name_Hall 'P -6 2'
loop_
_atom_site_label
_atom_site_type_symbol
_atom_site_fract_x
_atom_site_fract_y
_atom_site_fract_z
Mg1 Mg 0.0000 0.0000 0.0000
Nb1 Nb 0.3333 0.6667 0.5000
```

Calculated values
Total magnetic moment (μB per atom): 0.000
Energy (eV per atom): -5.546

[6]
DFT (PBE) results for a relaxed structure of MgNb.

```
data_MgNb
_chemical_formula_sum 'Mg10 Nb10'
_cell_length_a 4.880
_cell_length_b 15.290
_cell_length_c 5.166
_cell_angle_alpha 90.00
_cell_angle_beta 90.00
_cell_angle_gamma 90.00
_space_group_name_H-M_alt 'A m m 2'
_space_group_IT_number 38
_space_group_name_Hall 'A 2 -2'
loop_
_atom_site_label
_atom_site_type_symbol
_atom_site_fract_x
_atom_site_fract_y
_atom_site_fract_z
Mg1 Mg 0.000 0.000 0.000
Mg2 Mg 0.000 0.099 0.496
Mg3 Mg 0.500 0.099 0.830
Nb1 Nb 0.000 0.204 0.016
Nb2 Nb 0.500 0.000 0.318
Nb3 Nb 0.500 0.202 0.344
```

Calculated values
Total magnetic moment (μB per atom): 0.001
Energy (eV per atom): -5.547

[7]
DFT (PBE) results for a relaxed structure of MgNb.

```
data_MgNb
_chemical_formula_sum 'Mg4 Nb4'
_cell_length_a 2.848
_cell_length_b 5.009
_cell_length_c 11.132
_cell_angle_alpha 90.00
_cell_angle_beta 90.00
_cell_angle_gamma 90.00
_space_group_name_H-M_alt 'P m m n'
_space_group_IT_number 59
loop_
_space_group_symop_operation_xyz
'x,y,z'
'-x,-y,-z'
'-x+1/2,-y+1/2,z'
'x+1/2,y+1/2,-z'
'x+1/2,-y,-z'
'-x+1/2,y,z'
'-x,y+1/2,-z'
'x,-y+1/2,z'
loop_
_atom_site_label
_atom_site_type_symbol
_atom_site_fract_x
_atom_site_fract_y
_atom_site_fract_z
Mg1 Mg 0.250 0.250 0.062
Mg2 Mg 0.250 0.750 0.203
Nb1 Nb 0.250 0.250 0.559
Nb2 Nb 0.250 0.750 0.677
```

Calculated values
Total magnetic moment (μB per atom): 0.012
Energy (eV per atom): -5.637

[8]
DFT (PBE) results for a relaxed structure of MgNb.

```
data_MgNb
_chemical_formula_sum 'Mg4 Nb4'
_cell_length_a 4.526
_cell_length_b 4.526
_cell_length_c 7.593
_cell_angle_alpha 90.00
_cell_angle_beta 90.00
_cell_angle_gamma 90.00
_space_group_name_H-M_alt 'P 4/m m m'
_space_group_IT_number 123
_space_group_name_Hall '-P 4 2'
loop_
_atom_site_label
_atom_site_type_symbol
_atom_site_fract_x
_atom_site_fract_y
_atom_site_fract_z
Mg1 Mg 0.000 0.000 0.249
Mg2 Mg 0.000 0.500 0.500
Nb1 Nb 0.000 0.500 0.000
Nb2 Nb 0.500 0.500 0.219
```

Calculated values
Total magnetic moment (μB per atom): 0.006
Energy (eV per atom): -5.650

[9]
DFT (PBE) results for a relaxed structure of MgNb.

```
data_MgNb
_chemical_formula_sum 'Mg6 Nb6'
_cell_length_a 5.816
_cell_length_b 4.982
_cell_length_c 8.391
_cell_angle_alpha 90.00
_cell_angle_beta 99.49
_cell_angle_gamma 90.00
_space_group_name_H-M_alt 'P 1 21/m 1'
_space_group_IT_number 11
_space_group_name_Hall '-P 2yb'
loop_
_atom_site_label
_atom_site_type_symbol
_atom_site_fract_x
_atom_site_fract_y
_atom_site_fract_z
Mg1 Mg 0.022 0.250 0.101
Mg2 Mg 0.307 0.750 0.236
Mg3 Mg 0.473 0.750 0.899
Nb1 Nb 0.148 0.750 0.570
Nb2 Nb 0.184 0.250 0.720
Nb3 Nb 0.356 0.250 0.440
```

Calculated values
Total magnetic moment (μB per atom): 0.003
Energy (eV per atom): -5.617

[10]
DFT (PBE) results for a relaxed structure of MgNb.

```
data_MgNb
_chemical_formula_sum 'Mg6 Nb6'
_cell_length_a 6.719
_cell_length_b 4.768
_cell_length_c 7.617
_cell_angle_alpha 90.00
_cell_angle_beta 102.80
_cell_angle_gamma 90.00
_space_group_name_H-M_alt 'P 1 21/m 1'
_space_group_IT_number 11
_space_group_name_Hall '-P 2yb'
loop_
_atom_site_label
_atom_site_type_symbol
_atom_site_fract_x
_atom_site_fract_y
_atom_site_fract_z
Mg1 Mg 0.050 0.250 0.193
Mg2 Mg 0.124 0.750 0.470
Mg3 Mg 0.389 0.250 0.532
Nb1 Nb 0.236 0.250 0.872
Nb2 Nb 0.298 0.750 0.123
Nb3 Nb 0.458 0.750 0.827
```

Calculated values
Total magnetic moment (μB per atom): 0.002
Energy (eV per atom): -5.658

[11]
DFT (PBE) results for a relaxed structure of Mg2Nb3.

```
data_Mg2Nb3
_chemical_formula_sum 'Mg12 Nb18'
_cell_length_a 6.8638
_cell_length_b 6.8638
_cell_length_c 15.3222
_cell_angle_alpha 90.00
_cell_angle_beta 90.00
_cell_angle_gamma 120.00
_space_group_name_H-M_alt 'R -3 c'
_space_group_IT_number 167
_space_group_name_Hall '-R 3 2"c'
loop_
_atom_site_label
_atom_site_type_symbol
_atom_site_fract_x
_atom_site_fract_y
_atom_site_fract_z
Mg1 Mg 0.0000 0.0000 0.0866
Nb1 Nb 0.0000 0.2181 0.2500
```

Calculated values
Total magnetic moment (μB per atom): 0.000
Energy (eV per atom): -5.941

[12]
DFT (PBE) results for a relaxed structure of MgNb.

```
data_MgNb
_chemical_formula_sum 'Mg4 Nb4'
_cell_length_a 6.0330
_cell_length_b 6.0330
_cell_length_c 4.9653
_cell_angle_alpha 90.00
_cell_angle_beta 90.00
_cell_angle_gamma 120.00
_space_group_name_H-M_alt 'P -6 m 2'
_space_group_IT_number 187
_space_group_name_Hall 'P -6 2'
loop_
_atom_site_label
_atom_site_type_symbol
_atom_site_fract_x
_atom_site_fract_y
_atom_site_fract_z
Mg1 Mg 0.0000 0.0000 0.0000
Mg2 Mg 0.1739 0.3477 0.5000
Nb1 Nb 0.5111 0.0222 0.0000
Nb2 Nb 0.6667 0.3333 0.5000
```

Calculated values
Total magnetic moment (μB per atom): 0.000
Energy (eV per atom): -5.549

Repeat the sixth record exactly.
DFT (PBE) results for a relaxed structure of MgNb.

```
data_MgNb
_chemical_formula_sum 'Mg10 Nb10'
_cell_length_a 4.880
_cell_length_b 15.290
_cell_length_c 5.166
_cell_angle_alpha 90.00
_cell_angle_beta 90.00
_cell_angle_gamma 90.00
_space_group_name_H-M_alt 'A m m 2'
_space_group_IT_number 38
_space_group_name_Hall 'A 2 -2'
loop_
_atom_site_label
_atom_site_type_symbol
_atom_site_fract_x
_atom_site_fract_y
_atom_site_fract_z
Mg1 Mg 0.000 0.000 0.000
Mg2 Mg 0.000 0.099 0.496
Mg3 Mg 0.500 0.099 0.830
Nb1 Nb 0.000 0.204 0.016
Nb2 Nb 0.500 0.000 0.318
Nb3 Nb 0.500 0.202 0.344
```

Calculated values
Total magnetic moment (μB per atom): 0.001
Energy (eV per atom): -5.547